No. 1
{"formula": "ScFe2Ag", "functional": "PBE-GGA", "state": "relaxed", "space_group": "P4mm", "formation_energy_mev_per_atom": 46, "density_kg_m3": 6948, "lattice": [[3.069, 0.000, 0.000], [0.000, 3.069, 0.000], [0.000, 0.000, 6.712]], "species": ["Sc", "Fe", "Fe", "Ag"], "fractional_positions": [[0.000, 0.000, 0.000], [0.000, 0.000, 0.575], [0.500, 0.500, 0.746], [0.500, 0.500, 0.312]]}

=====

No. 2
{"formula": "RbTcI2N", "functional": "PBE-GGA", "state": "relaxed", "space_group": "P4/mmm", "density_kg_m3": 3132, "formation_energy_uncorrected_mev_per_atom": 1654.0, "e_above_lowest_polymorph_mev_per_atom": 1821, "lattice": [[6.732, 0.000, 0.000], [0.000, 6.732, 0.000], [0.000, 0.000, 5.279]], "species": ["Rb", "Tc", "I", "I", "N"], "fractional_positions": [[0.000, 0.000, 0.000], [0.500, 0.500, 0.500], [0.000, 0.500, 0.000], [0.500, 0.000, 0.000], [0.000, 0.000, 0.500]]}

=====

No. 3
{"formula": "NaNbNi2Sb", "functional": "PBE-GGA", "state": "relaxed", "space_group": "P4/mmm", "density_kg_m3": 5300, "formation_energy_uncorrected_mev_per_atom": 1208.1, "lattice": [[4.591, 0.000, 0.000], [0.000, 4.591, 0.000], [0.000, 0.000, 5.278]], "species": ["Na", "Nb", "Ni", "Ni", "Sb"], "fractional_positions": [[0.000, 0.000, 0.000], [0.000, 0.000, 0.500], [0.000, 0.500, 0.500], [0.500, 0.000, 0.500], [0.500, 0.500, 0.000]]}

=====

No. 4
{"formula": "Pm3In2Sn3", "functional": "PBE-GGA", "state": "relaxed", "space_group": "Immm", "formation_energy_mev_per_atom": -540, "density_kg_m3": 7621, "lattice": [[-2.267, 2.297, 10.677], [2.267, -2.297, 10.677], [2.267, 2.297, -10.677]], "species": ["Pm", "Pm", "Pm", "In", "In", "Sn", "Sn", "Sn"], "fractional_positions": [[0.000, 0.000, 0.000], [0.131, 0.631, 0.500], [0.869, 0.369, 0.500], [0.252, 0.252, 0.000], [0.748, 0.748, 0.000], [0.383, 0.883, 0.500], [0.500, 0.500, 0.000], [0.617, 0.117, 0.500]]}

=====

Number 1: electronic total energy -6.48 eV/atom. Number 2: electronic total energy -2.90 eV/atom. Number 3: electronic total energy -4.21 eV/atom. Number 4: electronic total energy -4.51 eV/atom.